Density functional theory data (meta-GGA SCAN) for a PBEsol-optimized structure of YHf3Cl.

a b c (Å): 5.1847 5.1847 5.1847
angles (deg): 90.00 90.00 90.00
Fractional coordinates of all 5 atoms:
Y: 0.0000 0.0000 0.0000
Hf: 0.0000 0.0000 0.5000
Hf: 0.0000 0.5000 0.0000
Hf: 0.5000 0.0000 0.0000
Cl: 0.5000 0.5000 0.5000

Results
polymorph energy (0 for the lowest one)	1.771	eV/atom
SG	No. 221

---

Density functional theory data (meta-GGA SCAN) for a PBEsol-optimized structure of YHf3Cl.

a b c (Å): 4.8068 4.8068 4.8068
angles (deg): 90.00 90.00 90.00
Fractional coordinates of all 5 atoms:
Y: 0.0000 0.0000 0.0000
Hf: 0.0000 0.5000 0.5000
Hf: 0.5000 0.0000 0.5000
Hf: 0.5000 0.5000 0.0000
Cl: 0.5000 0.5000 0.5000

Results
polymorph energy (0 for the lowest one)	0.000	eV/atom
SG	No. 221

---

Density functional theory data (meta-GGA SCAN) for a PBEsol-optimized structure of Y2HfCl.

a b c (Å): 5.2197 5.2197 5.2197
angles (deg): 60.00 60.00 60.00
Fractional coordinates of all 4 atoms:
Y: 0.2500 0.2500 0.2500
Y: 0.7500 0.7500 0.7500
Hf: 0.0000 0.0000 0.0000
Cl: 0.5000 0.5000 0.5000

Results
SG	No. 225

---

Density functional theory data (meta-GGA SCAN) for a PBEsol-optimized structure of HfZr2Cl.

a b c (Å): 4.8469 4.8469 4.8469
angles (deg): 60.00 60.00 60.00
Fractional coordinates of all 4 atoms:
Hf: 0.0000 0.0000 0.0000
Zr: 0.2500 0.2500 0.2500
Zr: 0.7500 0.7500 0.7500
Cl: 0.5000 0.5000 0.5000

Results
SG	No. 225

---

Density functional theory data (meta-GGA SCAN) for a PBEsol-optimized structure of HfZr3Cl.

a b c (Å): 4.7542 4.7542 4.7542
angles (deg): 90.00 90.00 90.00
Fractional coordinates of all 5 atoms:
Hf: 0.0000 0.0000 0.0000
Zr: 0.0000 0.5000 0.5000
Zr: 0.5000 0.0000 0.5000
Zr: 0.5000 0.5000 0.0000
Cl: 0.5000 0.5000 0.5000

Results
SG	No. 221

---

Density functional theory data (meta-GGA SCAN) for a PBEsol-optimized structure of Hg2Cl.

a b c (Å): 11.1712 11.1712 3.7546
angles (deg): 90.00 90.00 161.55
Fractional coordinates of all 6 atoms:
Hg: 0.0478 0.9522 0.7500
Hg: 0.2803 0.7197 0.2500
Hg: 0.7197 0.2803 0.7500
Hg: 0.9522 0.0478 0.2500
Cl: 0.3818 0.6182 0.7500
Cl: 0.6182 0.3818 0.2500

Results
polymorph energy (0 for the lowest one)	0.136	eV/atom
SG	No. 63

---

What are the formation energy (no corrections) values for these records? In order: 1693; -78; 240; 412; -168; -238 meV/atom.
What are the energy values for these records? In order: -215.4; -224.2; -125.4; -130.4; -163.6; -290.1 eV for the cell shown.